# 1
Here is NbZnFeMo after structural relaxation from OQMD via LeMat-Bulk. Energies are from PBE.

abc: 4.387 4.387 4.387
angles: 60.00 60.00 60.00
Positions (direct):
1 Fe 0.750 0.750 0.750
2 Mo 0.250 0.250 0.250
3 Nb 0.500 0.500 0.500
4 Zn 0.000 0.000 0.000

## Properties
VASP energy = -7.418 eV per atom
ΔE to the lowest computed polymorph = 0.000 eV per atom
calculated volume = 60 Å³/cell
energy of formation = 0.2106 eV/atom
total magnetic moment = 2.743 μB/cell

***

# 2
Here is TmMg6Sc after structural relaxation from OQMD via LeMat-Bulk. Energies are from PBE.

abc: 5.079 5.079 7.191
angles: 90.00 90.00 90.00
Positions (direct):
1 Mg 0.500 0.500 0.000
2 Mg 0.500 0.000 0.242
3 Mg 0.000 0.500 0.242
4 Mg 0.000 0.000 0.500
5 Mg 0.500 0.000 0.758
6 Mg 0.000 0.500 0.758
7 Sc 0.000 0.000 0.000
8 Tm 0.500 0.500 0.500

## Properties
VASP energy = -2.546 eV per atom
ΔE to the lowest computed polymorph = 0.000 eV per atom
calculated volume = 185 Å³/cell
total magnetic moment = 0.030 μB/cell

***

# 3
Here is GdErAlIr2 after structural relaxation from OQMD via LeMat-Bulk. Energies are from PBE.

abc: 5.564 5.564 5.564
angles: 136.85 116.90 79.51
Positions (direct):
1 Al 0.000 0.000 0.000
2 Er 0.302 0.802 0.500
3 Gd 0.698 0.198 0.500
4 Ir 0.741 0.500 0.241
5 Ir 0.259 0.500 0.759

## Properties
VASP energy = -7.069 eV per atom
calculated volume = 102 Å³/cell
total magnetic moment = 0.004 μB/cell

***

# 4
Here is PmTmSi3 after structural relaxation from OQMD via LeMat-Bulk. Energies are from PBE.

abc: 12.456 12.456 3.938
angles: 90.00 90.00 160.64
Positions (direct):
1 Pm 0.071 0.929 0.250
2 Pm 0.929 0.071 0.750
3 Si 0.680 0.320 0.250
4 Si 0.475 0.525 0.250
5 Si 0.379 0.621 0.250
6 Si 0.621 0.379 0.750
7 Si 0.525 0.475 0.750
8 Si 0.320 0.680 0.750
9 Tm 0.797 0.203 0.250
10 Tm 0.203 0.797 0.750

## Properties
VASP energy = -5.791 eV per atom
calculated volume = 203 Å³/cell
total magnetic moment = 0.001 μB/cell

***

# 5
Here is Be2GaPd after structural relaxation from OQMD via LeMat-Bulk. Energies are from PBE.

abc: 4.082 4.082 4.082
angles: 60.00 60.00 60.00
Positions (direct):
1 Be 0.000 0.000 0.000
2 Be 0.750 0.750 0.750
3 Ga 0.500 0.500 0.500
4 Pd 0.250 0.250 0.250

## Properties
VASP energy = -4.041 eV per atom
calculated volume = 48 Å³/cell

***

# 6
Here is YAlPdPt after structural relaxation from OQMD via LeMat-Bulk. Energies are from PBE.

abc: 4.357 4.357 9.221
angles: 90.00 90.00 120.00
Positions (direct):
1 Al 0.000 0.000 0.492
2 Al 0.000 0.000 0.992
3 Pd 0.667 0.333 0.084
4 Pd 0.333 0.667 0.584
5 Pt 0.667 0.333 0.421
6 Pt 0.333 0.667 0.921
7 Y 0.333 0.667 0.252
8 Y 0.667 0.333 0.752

## Properties
VASP energy = -6.442 eV per atom
calculated volume = 152 Å³/cell
total magnetic moment = 0.003 μB/cell

***

# 7
Here is BeZnFe after structural relaxation from OQMD via LeMat-Bulk. Energies are from PBE.

abc: 3.865 3.865 3.865
angles: 60.00 60.00 60.00
Positions (direct):
1 Be 0.250 0.250 0.250
2 Fe 0.000 0.000 0.000
3 Zn 0.750 0.750 0.750

## Properties
VASP energy = -3.852 eV per atom
ΔE to the lowest computed polymorph = 0.250 eV per atom
calculated volume = 41 Å³/cell
total magnetic moment = 1.933 μB/cell

***

# 8
Here is NdHoEr after structural relaxation from OQMD via LeMat-Bulk. Energies are from PBE.

abc: 5.433 5.433 5.433
angles: 60.00 60.00 60.00
Positions (direct):
1 Er 0.000 0.000 0.000
2 Ho 0.250 0.250 0.250
3 Nd 0.750 0.750 0.750

## Properties
VASP energy = -3.923 eV per atom
ΔE to the lowest computed polymorph = 0.000 eV per atom
calculated volume = 113 Å³/cell
energy of formation = 0.7117 eV/atom
total magnetic moment = 0.017 μB/cell

***

# 9
Here is AcNpPt after structural relaxation from OQMD via LeMat-Bulk. Energies are from PBE.

abc: 5.088 5.088 5.088
angles: 60.00 60.00 60.00
Positions (direct):
1 Ac 0.250 0.250 0.250
2 Np 0.750 0.750 0.750
3 Pt 0.000 0.000 0.000

## Properties
VASP energy = -7.839 eV per atom
ΔE to the lowest computed polymorph = 0.000 eV per atom
calculated volume = 93 Å³/cell
energy of formation = -0.1948 eV/atom
total magnetic moment = 5.319 μB/cell

***

# 10
Here is ZnCoPdPb after structural relaxation from OQMD via LeMat-Bulk. Energies are from PBE.

abc: 4.521 4.521 4.521
angles: 60.00 60.00 60.00
Each line ends with the local moment (μB).
Positions (direct):
1 Co 0.750 0.750 0.750  1.17
2 Pb 0.000 0.000 0.000  0.00
3 Pd 0.250 0.250 0.250  0.10
4 Zn 0.500 0.500 0.500  -0.01

## Properties
VASP energy = -4.238 eV per atom
ΔE to the lowest computed polymorph = 0.000 eV per atom
calculated volume = 65 Å³/cell
total magnetic moment = 1.236 μB/cell

***

# 11
Here is HfCuSiNi after structural relaxation from OQMD via LeMat-Bulk. Energies are from PBE.

abc: 4.269 4.269 4.269
angles: 60.00 60.00 60.00
Positions (direct):
1 Cu 0.750 0.750 0.750
2 Hf 0.500 0.500 0.500
3 Ni 0.250 0.250 0.250
4 Si 0.000 0.000 0.000

## Properties
VASP energy = -6.558 eV per atom
ΔE to the lowest computed polymorph = 0.000 eV per atom
calculated volume = 55 Å³/cell
total magnetic moment = 0.004 μB/cell

***

# 12
Here is Sc2CuNi2 after structural relaxation from OQMD via LeMat-Bulk. Energies are from PBE.

abc: 3.408 3.408 7.371
angles: 103.37 103.37 90.00
Positions (direct):
1 Cu 0.000 0.000 0.000
2 Ni 0.750 0.250 0.500
3 Ni 0.250 0.750 0.500
4 Sc 0.610 0.610 0.221
5 Sc 0.390 0.390 0.779

## Properties
VASP energy = -5.694 eV per atom
calculated volume = 81 Å³/cell
energy of formation = -0.1923 eV/atom
total magnetic moment = 0.003 μB/cell